[1]
The following is a PBE-GGA calculation of Ho3InPd4 after structural relaxation, from the Alexandria database.

## Properties
* density of states at the Fermi level: 0.334 states/eV/atom
* DFT formation energy: -0.851 eV per atom

Unit cell a=4.8772 b=4.8772 c=6.8702 alpha=90.00 beta=90.00 gamma=90.00
With the nearest neighbours (Å) after each atom.
Element x y z (fractional)
Ho  0.0000  0.0000  0.0000  8 Pd 2.97
Ho  0.0000  0.0000  0.5000  8 Pd 3.00
Ho  0.5000  0.5000  0.0000  8 Pd 2.97
In  0.5000  0.5000  0.5000  8 Pd 3.00
Pd  0.0000  0.5000  0.2468  6 Ho 2.97-3.00, 2 In 3.00
Pd  0.0000  0.5000  0.7532  6 Ho 2.97-3.00, 2 In 3.00
Pd  0.5000  0.0000  0.2468  6 Ho 2.97-3.00, 2 In 3.00
Pd  0.5000  0.0000  0.7532  6 Ho 2.97-3.00, 2 In 3.00

---

[2]
The following is a PBE-GGA calculation of PmMnFeGe2 after structural relaxation, from the Alexandria database.

## Properties
* density of states at the Fermi level: 0.513 states/eV/atom
* DFT formation energy: -0.478 eV per atom

Unit cell a=6.0466 b=6.0466 c=6.0466 alpha=141.39 beta=141.39 gamma=55.76
With the nearest neighbours (Å) after each atom.
Element x y z (fractional)
Pm  0.0000  0.0000  0.0000  8 Ge 3.13, 4 Mn 3.34, 4 Fe 3.34
Mn  0.2500  0.7500  0.5000  4 Ge 2.41
Fe  0.7500  0.2500  0.5000  4 Ge 2.41
Ge  0.3753  0.3753  0.0000  2 Mn 2.41, 2 Fe 2.41, 1 Ge 2.67
Ge  0.6247  0.6247  0.0000  2 Mn 2.41, 2 Fe 2.41, 1 Ge 2.67

---

[3]
The following is a PBE-GGA calculation of LiHO after structural relaxation, from the Alexandria database.

## Properties
* density of states at the Fermi level: 0.000 states/eV/atom
* distance to the lowest polymorph of the same formula: 159.0 meV per atom

Unit cell a=3.2734 b=3.2734 c=3.2734 alpha=125.22 beta=125.22 gamma=81.17
With the nearest neighbours (Å) after each atom.
Element x y z (fractional)
Li  0.0000  0.0000  0.0000  5 O 1.96-2.19, 5 H 2.04-2.18
H  0.5897  0.5897  0.0000  1 O 0.97
O  0.3943  0.3943  0.0000  1 H 0.97

---

[4]
The following is a PBE-GGA calculation of Nd3Pt2Rh7 after structural relaxation, from the Alexandria database.

## Properties
* density of states at the Fermi level: 0.858 states/eV/atom
* DFT formation energy: -0.607 eV per atom

Unit cell a=9.4086 b=9.4086 c=9.4086 alpha=33.07 beta=33.07 gamma=33.07
With the nearest neighbours (Å) after each atom.
Element x y z (fractional)
Nd  0.0000  0.0000  0.0000  6 Pt 3.09
Nd  0.1394  0.1394  0.1394  12 Rh 3.07-3.34, 3 Nd 3.42
Nd  0.8606  0.8606  0.8606  12 Rh 3.07-3.34, 3 Nd 3.42
Pt  0.3329  0.3329  0.3329  6 Rh 2.69-2.71
Pt  0.6671  0.6671  0.6671  6 Rh 2.69-2.71
Rh  0.0822  0.5834  0.5834  5 Rh 2.67-2.72, 2 Pt 2.69-2.71
Rh  0.4166  0.4166  0.9178  5 Rh 2.67-2.72, 2 Pt 2.69-2.71
Rh  0.4166  0.9178  0.4166  5 Rh 2.67-2.72, 2 Pt 2.69-2.71
Rh  0.5000  0.5000  0.5000  6 Rh 2.72
Rh  0.5834  0.0822  0.5834  5 Rh 2.67-2.72, 2 Pt 2.69-2.71
Rh  0.5834  0.5834  0.0822  5 Rh 2.67-2.72, 2 Pt 2.69-2.71
Rh  0.9178  0.4166  0.4166  5 Rh 2.67-2.72, 2 Pt 2.69-2.71

---

[5]
The following is a PBE-GGA calculation of Na3PmBi2Se6 after structural relaxation, from the Alexandria database.

## Properties
* E_form (uncorrected): -102.0 kJ/mol of atoms
* density of states at the Fermi level: 0.000 states/eV/atom

Unit cell a=7.3554 b=7.3554 c=7.4822 alpha=99.41 beta=99.41 gamma=120.00
With the nearest neighbours (Å) after each atom.
Element x y z (fractional)
Na  0.0000  0.0000  0.0000  6 Se 3.07-3.08
Na  0.3287  0.6713  0.0000  6 Se 3.04-3.11
Na  0.6713  0.3287  0.0000  6 Se 3.04-3.11
Pm  0.5000  0.5000  0.5000  6 Se 2.96-2.97
Bi  0.1661  0.8339  0.5000  6 Se 2.97
Bi  0.8339  0.1661  0.5000  6 Se 2.97
Se  0.0884  0.4215  0.2638  1 Pm 2.96, 2 Bi 2.97, 3 Na 3.04-3.08
Se  0.2462  0.2462  0.7381  2 Bi 2.97, 1 Pm 2.97, 3 Na 3.07-3.11
Se  0.4215  0.0884  0.2638  1 Pm 2.96, 2 Bi 2.97, 3 Na 3.04-3.08
Se  0.5785  0.9116  0.7362  1 Pm 2.96, 2 Bi 2.97, 3 Na 3.04-3.08
Se  0.7538  0.7538  0.2619  2 Bi 2.97, 1 Pm 2.97, 3 Na 3.07-3.11
Se  0.9116  0.5785  0.7362  1 Pm 2.96, 2 Bi 2.97, 3 Na 3.04-3.08

---

[6]
The following is a PBE-GGA calculation of Ba4Y2Cu5PdO14 after structural relaxation, from the Alexandria database.

## Properties
* E_form (uncorrected): -172.1 kJ/mol of atoms
* density of states at the Fermi level: 0.526 states/eV/atom
* distance to the lowest polymorph of the same formula: 4.7 meV per atom

Unit cell a=12.5519 b=12.5201 c=5.5080 alpha=77.63 beta=76.99 gamma=25.38
With the nearest neighbours (Å) after each atom.
Element x y z (fractional)
Ba  0.0918  0.0918  0.4082  10 O 2.76-3.07
Ba  0.4082  0.4082  0.0918  10 O 2.76-3.07
Ba  0.5918  0.5918  0.9082  10 O 2.76-3.07
Ba  0.9082  0.9082  0.5918  10 O 2.76-3.07
Y  0.2500  0.2500  0.2500  8 O 2.40-2.43
Y  0.7500  0.7500  0.7500  8 O 2.40-2.43
Cu  0.0000  0.0000  0.0000  4 O 1.90-1.91
Cu  0.1771  0.1771  0.8229  4 O 1.94-1.99
Cu  0.3217  0.3217  0.6783  4 O 1.95-1.99
Cu  0.6783  0.6783  0.3217  4 O 1.95-1.99
Cu  0.8229  0.8229  0.1771  4 O 1.94-1.99
Pd  0.5000  0.5000  0.5000  4 O 2.01-2.04
O  0.0592  0.5600  0.9408  2 Cu 1.94-1.95
O  0.0605  0.5606  0.4394  2 Cu 1.99
O  0.0801  0.0801  0.9199  1 Cu 1.91
O  0.2410  0.7590  0.2410  1 Cu 1.90, 1 Pd 2.04
O  0.4158  0.4158  0.5842  1 Pd 2.01, 1 Cu 2.24
O  0.4394  0.9395  0.0605  2 Cu 1.99
O  0.4400  0.9408  0.5600  2 Cu 1.94-1.95
O  0.5600  0.0592  0.4400  2 Cu 1.94-1.95
O  0.5606  0.0605  0.9395  2 Cu 1.99
O  0.5842  0.5842  0.4158  1 Pd 2.01, 1 Cu 2.24
O  0.7590  0.2410  0.7590  1 Cu 1.90, 1 Pd 2.04
O  0.9199  0.9199  0.0801  1 Cu 1.91
O  0.9395  0.4394  0.5606  2 Cu 1.99
O  0.9408  0.4400  0.0592  2 Cu 1.94-1.95

---

[7]
The following is a PBE-GGA calculation of NaCaGa2Rh after structural relaxation, from the Alexandria database.

## Properties
* density of states at the Fermi level: 0.517 states/eV/atom
* DFT formation energy: -0.304 eV per atom
* distance to the lowest polymorph of the same formula: 0.0 meV per atom

Unit cell a=4.8814 b=4.8814 c=5.3315 alpha=90.00 beta=90.00 gamma=90.00
With the nearest neighbours (Å) after each atom.
Element x y z (fractional)
Na  0.0000  0.0000  0.0000  4 Ca 3.45, 8 Ga 3.61
Ca  0.5000  0.5000  0.0000  2 Rh 2.67
Ga  0.0000  0.5000  0.5000  2 Rh 2.44
Ga  0.5000  0.0000  0.5000  2 Rh 2.44
Rh  0.5000  0.5000  0.5000  4 Ga 2.44, 2 Ca 2.67

---

[8]
The following is a PBE-GGA calculation of ZnCdSe after structural relaxation, from the Alexandria database.

## Properties
* E_form (uncorrected): 13.4 kJ/mol of atoms
* density of states at the Fermi level: 0.577 states/eV/atom
* distance to the lowest polymorph of the same formula: 362.8 meV per atom

Unit cell a=5.2256 b=5.2256 c=2.7990 alpha=90.00 beta=90.00 gamma=120.00
With the nearest neighbours (Å) after each atom.
Element x y z (fractional)
Zn  0.0000  0.0000  0.0000  2 Zn 2.80, 3 Se 3.02, 3 Cd 3.02
Cd  0.6667  0.3333  0.9580  2 Cd 2.80, 3 Se 3.02, 3 Zn 3.02
Se  0.3333  0.6667  0.9801  2 Se 2.80, 3 Zn 3.02, 3 Cd 3.02

---

[9]
The following is a PBE-GGA calculation of Li3ScTl2O6 after structural relaxation, from the Alexandria database.

## Properties
* E_form (uncorrected): -163.1 kJ/mol of atoms

Unit cell a=5.6795 b=5.6795 c=5.4072 alpha=98.96 beta=98.96 gamma=120.99
With the nearest neighbours (Å) after each atom.
Element x y z (fractional)
Li  0.0000  0.0000  0.0000  6 O 2.28-2.31
Li  0.3509  0.6491  0.0000  4 O 2.16-2.18
Li  0.6491  0.3509  0.0000  4 O 2.16-2.18
Sc  0.5000  0.5000  0.5000  6 O 2.15-2.16
Tl  0.1675  0.8325  0.5000  6 O 2.30-2.33
Tl  0.8325  0.1675  0.5000  6 O 2.30-2.33
O  0.1150  0.4239  0.2570  1 Sc 2.16, 2 Li 2.18-2.28, 2 Tl 2.30-2.33
O  0.2633  0.2633  0.7456  1 Sc 2.15, 3 Li 2.16-2.31, 2 Tl 2.33
O  0.4239  0.1150  0.2570  1 Sc 2.16, 2 Li 2.18-2.28, 2 Tl 2.30-2.33
O  0.5761  0.8850  0.7430  1 Sc 2.16, 2 Li 2.18-2.28, 2 Tl 2.30-2.33
O  0.7367  0.7367  0.2544  1 Sc 2.15, 3 Li 2.16-2.31, 2 Tl 2.33
O  0.8850  0.5761  0.7430  1 Sc 2.16, 2 Li 2.18-2.28, 2 Tl 2.30-2.33

---

[10]
The following is a PBE-GGA calculation of CoOsI2N after structural relaxation, from the Alexandria database.

## Properties
* E_form (uncorrected): 118.9 kJ/mol of atoms
* density of states at the Fermi level: 0.814 states/eV/atom
* distance to the lowest polymorph of the same formula: 313.3 meV per atom

Unit cell a=5.2040 b=5.2040 c=3.3630 alpha=90.00 beta=90.00 gamma=90.00
With the nearest neighbours (Å) after each atom.
Element x y z (fractional)
Co  0.0000  0.0000  0.0000  2 N 1.68
Os  0.5000  0.5000  0.5000  8 I 3.10, 2 Os 3.36
I  0.0000  0.5000  0.0000  2 Co 2.60
I  0.5000  0.0000  0.0000  2 Co 2.60
N  0.0000  0.0000  0.5000  2 Co 1.68

---

[11]
The following is a PBE-GGA calculation of Pa2FeRe after structural relaxation, from the Alexandria database.

## Properties
* density of states at the Fermi level: 1.263 states/eV/atom
* DFT formation energy: 0.126 eV per atom
* distance to the lowest polymorph of the same formula: 114.4 meV per atom

Unit cell a=6.7037 b=6.7037 c=6.7037 alpha=33.45 beta=33.45 gamma=33.45
With the nearest neighbours (Å) after each atom.
Element x y z (fractional)
Pa  0.2452  0.2452  0.2452  3 Fe 2.68, 3 Re 2.79
Pa  0.7548  0.7548  0.7548  3 Fe 2.68, 3 Re 2.79
Fe  0.5000  0.5000  0.5000  6 Pa 2.68
Re  0.0000  0.0000  0.0000  6 Pa 2.79

---

[12]
The following is a PBE-GGA calculation of AcTaGe2Os after structural relaxation, from the Alexandria database.

## Properties
* density of states at the Fermi level: 0.578 states/eV/atom
* DFT formation energy: -0.367 eV per atom

Unit cell a=6.6636 b=6.6636 c=6.6636 alpha=143.47 beta=143.47 gamma=52.62
With the nearest neighbours (Å) after each atom.
Element x y z (fractional)
Ac  0.0000  0.0000  0.0000  8 Ge 3.28, 4 Ta 3.64, 4 Os 3.64
Ta  0.2500  0.7500  0.5000  4 Ge 2.61
Ge  0.3806  0.3806  0.0000  2 Os 2.61, 2 Ta 2.61, 1 Ge 2.85
Ge  0.6194  0.6194  0.0000  2 Ta 2.61, 2 Os 2.61, 1 Ge 2.85
Os  0.7500  0.2500  0.5000  4 Ge 2.61

---

Ρ list, top to bottom, in g cm⁻³: 10.520 7.794 1.764 11.614 5.543 6.319 3.992 6.442 6.679 9.426 14.344 11.846
DFT total energy list, top to bottom, in Ry/atom: -0.4047 -0.4999 -0.3533 -0.5214 -0.3066 -0.4582 -0.2682 -0.1288 -0.4094 -0.3469 -0.7239 -0.5624